[1]
# Cs2Hg4Au

A geometry-optimized Cs2Hg4Au structure (PBE-GGA, Alexandria).

Cell lengths 7.3670, 7.2183, 9.8884 Å; angles 90.00, 103.28, 90.00 degrees
Closest atoms and distances in Å follow each position.
Space group P2_1/m (No. 11)
One atom of each set of equivalent atoms:
Cs 0.1402 0.2500 0.3895  3 Au 3.63-4.07, 6 Hg 3.81-4.05
Cs 0.2054 0.7500 0.0137  1 Au 3.55, 9 Hg 3.65-3.96
Hg 0.3105 0.7500 0.4204  1 Au 3.00, 4 Hg 3.34
Hg 0.3166 0.2500 0.0324  1 Au 2.96
Hg 0.4018 0.5091 0.7164  1 Au 3.05, 3 Hg 3.34
Au 0.0850 0.2500 0.7451  4 Hg 2.96-3.05

Output
The density of states at the Fermi level comes out at 0.389 states/eV per atom. The calculation puts the calculated formation energy at -0.238 eV per atom. The total magnetization is 0.00 μB/f.u.



[2]
# Cs3Hg2Au3

A geometry-optimized Cs3Hg2Au3 structure (PBE-GGA, Alexandria).

Cell lengths 5.2613, 12.6673, 17.4148 Å; angles 90.00, 90.00, 90.00 degrees
Closest atoms and distances in Å follow each position.
Space group Cmcm (No. 63)
One atom of each set of equivalent atoms:
Cs 0.0000 0.0924 0.1082  7 Au 3.60-4.02, 4 Hg 3.71-3.75
Cs 0.0000 0.3813 0.2500  5 Au 3.61-3.86, 4 Hg 3.95
Hg 0.0000 0.2027 0.5918  4 Au 3.07-3.23
Au 0.0000 0.3140 0.7500  2 Hg 3.10
Au 0.0000 0.3921 0.0325  1 Au 2.96, 3 Hg 3.07-3.23

Output
The density of states at the Fermi level comes out at 0.141 states/eV per atom. The calculation puts the calculated formation energy at -0.293 eV per atom. The total magnetization is 0.00 μB/f.u.



[3]
# CsHg22Au6

A geometry-optimized CsHg22Au6 structure (PBE-GGA, Alexandria).

Cell lengths 14.7531, 14.7531, 14.7531 Å; angles 90.00, 90.00, 90.00 degrees
Closest atoms and distances in Å follow each position.
Space group Fm-3m (No. 225)
One atom of each set of equivalent atoms:
Cs 0.0000 0.0000 0.0000  12 Hg 3.73, 6 Au 3.79
Hg 0.0000 0.1789 0.1789  2 Au 2.88, 1 Hg 2.96
Hg 0.1157 0.1157 0.3843  3 Au 3.06, 3 Hg 3.41
Hg 0.2500 0.2500 0.2500  4 Hg 3.43
Au 0.0000 0.0000 0.2572  8 Hg 2.88-3.06

Output
The density of states at the Fermi level comes out at 0.221 states/eV per atom. The calculation puts the calculated formation energy at 0.004 eV per atom. The total magnetization is 0.00 μB/f.u.



[4]
# Cs4Hg3Au5

A geometry-optimized Cs4Hg3Au5 structure (PBE-GGA, Alexandria).

Cell lengths 16.9972, 5.3352, 11.5464 Å; angles 90.00, 114.01, 90.00 degrees
Closest atoms and distances in Å follow each position.
Space group C2/m (No. 12)
One atom of each set of equivalent atoms:
Cs 0.0516 0.0000 0.3541  7 Au 3.49-3.85, 3 Hg 3.82-3.87
Cs 0.2422 0.5000 0.2239  6 Au 3.56-3.89, 1 Hg 3.92
Hg 0.0000 0.0000 0.0000  2 Au 2.67
Hg 0.1073 0.5000 0.8566  2 Au 2.91-2.92
Au 0.0000 0.5000 0.0000  4 Hg 2.67-2.92
Au 0.0855 0.5000 0.5931  2 Au 2.80-2.83, 1 Hg 2.91
Au 0.2238 0.5000 0.5203  3 Au 2.80-2.91

Output
The density of states at the Fermi level comes out at 0.270 states/eV per atom. The calculation puts the calculated formation energy at -0.253 eV per atom. The total magnetization is 0.00 μB/f.u.



[5]
# Cs9HgAu3

A geometry-optimized Cs9HgAu3 structure (PBE-GGA, Alexandria).

Cell lengths 9.1110, 13.4525, 15.0152 Å; angles 90.00, 95.19, 90.00 degrees
Closest atoms and distances in Å follow each position.
Space group P2_1/m (No. 11)
One atom of each set of equivalent atoms:
Cs 0.0922 0.2500 0.1972  2 Au 3.64, 1 Hg 3.94
Cs 0.1580 0.5697 0.3772  2 Au 3.59-3.60
Cs 0.2086 0.2500 0.8554  2 Au 3.64, 1 Hg 3.90
Cs 0.2583 0.5583 0.0392  2 Au 3.63
Cs 0.3582 0.2500 0.5285  2 Au 3.64
Cs 0.3625 0.5712 0.7134  2 Au 3.64-3.67
Hg 0.4616 0.2500 0.0793  6 Cs 3.90-4.14
Au 0.0469 0.0030 0.8298  6 Cs 3.59-3.64
Au 0.5000 0.0000 0.5000  6 Cs 3.60-3.67

Output
The density of states at the Fermi level comes out at 0.907 states/eV per atom. The calculation puts the calculated formation energy at -0.184 eV per atom. The total magnetization is 0.00 μB/f.u.



[6]
# Cs2HgAu2

A geometry-optimized Cs2HgAu2 structure (PBE-GGA, Alexandria).

Cell lengths 7.0384, 7.0384, 8.3002 Å; angles 90.00, 90.00, 90.00 degrees
Closest atoms and distances in Å follow each position.
Space group I4/mmm (No. 139)
One atom of each set of equivalent atoms:
Cs 0.0000 0.5000 0.2500  4 Au 3.59
Hg 0.0000 0.0000 0.0000  2 Au 2.80
Au 0.0000 0.0000 0.3373  1 Au 2.70, 1 Hg 2.80

Output
The density of states at the Fermi level comes out at 0.439 states/eV per atom. The calculation puts the calculated formation energy at -0.259 eV per atom. The total magnetization is 0.00 μB/f.u.



What are the mass density values for these records? In order: 8210; 7959; 11848; 7355; 3602; 6949 kg/m³.